1.
DFT (GGA-PBE) results for an optimized crystal structure of PrAl2Ru2C.

The structure belongs to space group P4/mmm (No. 123); the cell edges are 4.132, 4.132 and 5.711 Å and the angles 90.00°, 90.00° and 90.00°. The asymmetric unit holds Pr at (0.000, 0.000, 0.000), Al at (0.500, 0.500, 0.231), Ru at (0.000, 0.500, 0.500) and C at (0.000, 0.000, 0.500).

The value obtained for the calculated total energy is -7.098 eV per atom. The value obtained for the energy relative to the elements is -424.2 meV per atom.

---

2.
DFT (GGA-PBE) results for an optimized crystal structure of BaCa2Sm.

The structure belongs to space group R3m (No. 160, hexagonal axes); the cell edges are 3.8984, 3.8984 and 38.9869 Å and the angles 90.00°, 90.00° and 120.00°. The asymmetric unit holds Ba at (0.0000, 0.0000, 0.0000), Ca at (0.0000, 0.0000, 0.2443), Ca at (0.0000, 0.0000, 0.4221) and Sm at (0.0000, 0.0000, 0.8330).

The value obtained for the calculated total energy is -2.542 eV per atom. For the distance to the lowest polymorph of the same formula, the calculation gives 27 meV/atom. The value obtained for the energy relative to the elements is 119.1 meV per atom.